1.
# CdIr9 | OQMD via LeMat-Bulk | PBE | optimized geometry
# Electronic total energy, eV/atom: -7.99
# DFT formation energy, eV/atom: 0.073
data_CdIr9
_chemical_formula_sum 'Cd2 Ir18'
_cell_length_a 2.7462
_cell_length_b 3.8619
_cell_length_c 40.7658
_cell_angle_alpha 90.00
_cell_angle_beta 90.00
_cell_angle_gamma 90.00
_space_group_name_H-M_alt 'P m m n'
_space_group_IT_number 59
loop_
_space_group_symop_operation_xyz
'x,y,z'
'-x,-y,-z'
'-x+1/2,-y+1/2,z'
'x+1/2,y+1/2,-z'
'x+1/2,-y,-z'
'-x+1/2,y,z'
'-x,y+1/2,-z'
'x,-y+1/2,z'
loop_
_atom_site_label
_atom_site_fract_x
_atom_site_fract_y
_atom_site_fract_z
Cd1 0.2500 0.2500 0.1751
Ir1 0.2500 0.2500 0.2483
Ir2 0.2500 0.2500 0.3160
Ir3 0.2500 0.2500 0.3824
Ir4 0.2500 0.2500 0.4496
Ir5 0.2500 0.2500 0.5169
Ir6 0.2500 0.2500 0.5838
Ir7 0.2500 0.2500 0.6510
Ir8 0.2500 0.2500 0.7180
Ir9 0.2500 0.2500 0.7843

2.
# AlZnFeAg | OQMD via LeMat-Bulk | PBE | optimized geometry
# Electronic total energy, eV/atom: -4.00
data_AlZnFeAg
_chemical_formula_sum 'Al4 Zn4 Fe4 Ag4'
_cell_length_a 6.1244
_cell_length_b 6.1244
_cell_length_c 6.1244
_cell_angle_alpha 90.00
_cell_angle_beta 90.00
_cell_angle_gamma 90.00
_space_group_name_H-M_alt 'F -4 3 m'
_space_group_IT_number 216
_space_group_name_Hall 'F -4 2 3'
loop_
_atom_site_label
_atom_site_fract_x
_atom_site_fract_y
_atom_site_fract_z
Al1 0.0000 0.0000 0.0000
Zn1 0.0000 0.0000 0.5000
Fe1 0.2500 0.2500 0.2500
Ag1 0.2500 0.2500 0.7500

3.
# PrF | OQMD via LeMat-Bulk | PBE | optimized geometry
# Electronic total energy, eV/atom: -5.41
data_PrF
_chemical_formula_sum 'Pr1 F1'
_cell_length_a 3.3726
_cell_length_b 3.3726
_cell_length_c 3.8346
_cell_angle_alpha 90.00
_cell_angle_beta 90.00
_cell_angle_gamma 120.00
_space_group_name_H-M_alt 'P -6 m 2'
_space_group_IT_number 187
_space_group_name_Hall 'P -6 2'
loop_
_atom_site_label
_atom_site_fract_x
_atom_site_fract_y
_atom_site_fract_z
Pr1 0.0000 0.0000 0.0000
F1 0.3333 0.6667 0.5000

4.
# CsLaTbSe3 | OQMD via LeMat-Bulk | PBE | optimized geometry
# Electronic total energy, eV/atom: -5.02
data_CsLaTbSe3
_chemical_formula_sum 'Cs4 La4 Tb4 Se12'
_cell_length_a 5.0741
_cell_length_b 16.5354
_cell_length_c 10.4430
_cell_angle_alpha 90.00
_cell_angle_beta 90.00
_cell_angle_gamma 90.00
_space_group_name_H-M_alt 'C m c m'
_space_group_IT_number 63
_space_group_name_Hall '-C 2c 2'
loop_
_atom_site_label
_atom_site_fract_x
_atom_site_fract_y
_atom_site_fract_z
Cs1 0.0000 0.2388 0.2500
La1 0.0000 0.4943 0.2500
Tb1 0.0000 0.0000 0.0000
Se1 0.0000 0.0832 0.7500
Se2 0.0000 0.3931 0.5293

5.
# SmSnBi | OQMD via LeMat-Bulk | PBE | optimized geometry
# Electronic total energy, eV/atom: -4.46
data_SmSnBi
_chemical_formula_sum 'Sm4 Sn4 Bi4'
_cell_length_a 7.4518
_cell_length_b 7.4518
_cell_length_c 7.4518
_cell_angle_alpha 90.00
_cell_angle_beta 90.00
_cell_angle_gamma 90.00
_space_group_name_H-M_alt 'F -4 3 m'
_space_group_IT_number 216
_space_group_name_Hall 'F -4 2 3'
loop_
_atom_site_label
_atom_site_fract_x
_atom_site_fract_y
_atom_site_fract_z
Sm1 0.0000 0.0000 0.0000
Sn1 0.2500 0.2500 0.7500
Bi1 0.0000 0.0000 0.5000

6.
# AcOsNO | OQMD via LeMat-Bulk | PBE | optimized geometry
# Electronic total energy, eV/atom: -7.32
data_AcOsNO
_chemical_formula_sum 'Ac2 Os2 N2 O2'
_cell_length_a 5.3955
_cell_length_b 5.3955
_cell_length_c 4.4370
_cell_angle_alpha 90.00
_cell_angle_beta 90.00
_cell_angle_gamma 90.00
_space_group_name_H-M_alt 'P 4/n m m'
_space_group_IT_number 129
loop_
_space_group_symop_operation_xyz
'x,y,z'
'-x,-y,-z'
'-y+1/2,x,z'
'y+1/2,-x,-z'
'-x+1/2,-y+1/2,z'
'x+1/2,y+1/2,-z'
'y,-x+1/2,z'
'-y,x+1/2,-z'
'x+1/2,-y,-z'
'-x+1/2,y,z'
'-y,-x,-z'
'y,x,z'
'-x,y+1/2,-z'
'x,-y+1/2,z'
'y+1/2,x+1/2,-z'
'-y+1/2,-x+1/2,z'
loop_
_atom_site_label
_atom_site_fract_x
_atom_site_fract_y
_atom_site_fract_z
Ac1 0.2500 0.7500 0.0000
Os1 0.2500 0.2500 0.4947
N1 0.2500 0.2500 0.0253
O1 0.2500 0.7500 0.5000

7.
# ZrCd4AgAu2 | OQMD via LeMat-Bulk | PBE | optimized geometry
# Electronic total energy, eV/atom: -2.84
# DFT formation energy, eV/atom: -0.150
data_ZrCd4AgAu2
_chemical_formula_sum 'Zr1 Cd4 Ag1 Au2'
_cell_length_a 4.8958
_cell_length_b 6.3275
_cell_length_c 5.1323
_cell_angle_alpha 90.00
_cell_angle_beta 90.00
_cell_angle_gamma 90.00
_space_group_name_H-M_alt 'P m m 2'
_space_group_IT_number 25
loop_
_space_group_symop_operation_xyz
'x,y,z'
'-x,-y,z'
'-x,y,z'
'x,-y,z'
loop_
_atom_site_label
_atom_site_fract_x
_atom_site_fract_y
_atom_site_fract_z
Zr1 0.0000 0.0000 0.0000
Cd1 0.0000 0.2579 0.5121
Cd2 0.5000 0.2569 0.1636
Ag1 0.5000 0.5000 0.6724
Au1 0.0000 0.5000 0.0202
Au2 0.5000 0.0000 0.6754

8.
# Mg6CdGa | OQMD via LeMat-Bulk | PBE | optimized geometry
# Electronic total energy, eV/atom: -1.73
data_Mg6CdGa
_chemical_formula_sum 'Mg6 Cd1 Ga1'
_cell_length_a 6.1974
_cell_length_b 6.1974
_cell_length_c 5.1031
_cell_angle_alpha 90.00
_cell_angle_beta 90.00
_cell_angle_gamma 120.00
_space_group_name_H-M_alt 'P -6 m 2'
_space_group_IT_number 187
_space_group_name_Hall 'P -6 2'
loop_
_atom_site_label
_atom_site_fract_x
_atom_site_fract_y
_atom_site_fract_z
Mg1 0.0051 0.5026 0.0000
Mg2 0.3319 0.1659 0.5000
Cd1 0.0000 0.0000 0.0000
Ga1 0.3333 0.6667 0.5000

9.
# CuAgBOs | OQMD via LeMat-Bulk | PBE | optimized geometry
# Electronic total energy, eV/atom: -5.12
data_CuAgBOs
_chemical_formula_sum 'Cu4 Ag4 B4 Os4'
_cell_length_a 5.8931
_cell_length_b 5.8931
_cell_length_c 5.8931
_cell_angle_alpha 90.00
_cell_angle_beta 90.00
_cell_angle_gamma 90.00
_space_group_name_H-M_alt 'F -4 3 m'
_space_group_IT_number 216
_space_group_name_Hall 'F -4 2 3'
loop_
_atom_site_label
_atom_site_fract_x
_atom_site_fract_y
_atom_site_fract_z
Cu1 0.0000 0.0000 0.0000
Ag1 0.2500 0.2500 0.2500
B1 0.2500 0.2500 0.7500
Os1 0.0000 0.0000 0.5000

10.
# MgPaIn | OQMD via LeMat-Bulk | PBE | optimized geometry
# Electronic total energy, eV/atom: -3.79
data_MgPaIn
_chemical_formula_sum 'Mg4 Pa4 In4'
_cell_length_a 7.2014
_cell_length_b 7.2014
_cell_length_c 7.2014
_cell_angle_alpha 90.00
_cell_angle_beta 90.00
_cell_angle_gamma 90.00
_space_group_name_H-M_alt 'F -4 3 m'
_space_group_IT_number 216
_space_group_name_Hall 'F -4 2 3'
loop_
_atom_site_label
_atom_site_fract_x
_atom_site_fract_y
_atom_site_fract_z
Mg1 0.0000 0.0000 0.0000
Pa1 0.2500 0.2500 0.7500
In1 0.0000 0.0000 0.5000

11.
# AcZnPO | OQMD via LeMat-Bulk | PBE | optimized geometry
# Electronic total energy, eV/atom: -5.16
data_AcZnPO
_chemical_formula_sum 'Ac1 Zn1 P1 O1'
_cell_length_a 4.1836
_cell_length_b 4.1836
_cell_length_c 4.6734
_cell_angle_alpha 90.00
_cell_angle_beta 90.00
_cell_angle_gamma 90.00
_space_group_name_H-M_alt 'P 4/m m m'
_space_group_IT_number 123
_space_group_name_Hall '-P 4 2'
loop_
_atom_site_label
_atom_site_fract_x
_atom_site_fract_y
_atom_site_fract_z
Ac1 0.0000 0.0000 0.0000
Zn1 0.5000 0.5000 0.5000
P1 0.5000 0.5000 0.0000
O1 0.0000 0.0000 0.5000

12.
# TbTa2N4 | OQMD via LeMat-Bulk | PBE | optimized geometry
# Electronic total energy, eV/atom: -10.14
data_TbTa2N4
_chemical_formula_sum 'Tb4 Ta8 N16'
_cell_length_a 3.1251
_cell_length_b 10.1890
_cell_length_c 10.3524
_cell_angle_alpha 90.00
_cell_angle_beta 90.00
_cell_angle_gamma 90.00
_space_group_name_H-M_alt 'C m c m'
_space_group_IT_number 63
_space_group_name_Hall '-C 2c 2'
loop_
_atom_site_label
_atom_site_fract_x
_atom_site_fract_y
_atom_site_fract_z
Tb1 0.0000 0.1166 0.2500
Ta1 0.0000 0.3710 0.0677
N1 0.0000 0.0000 0.0000
N2 0.0000 0.2678 0.6122
N3 0.0000 0.4422 0.2500

13.
# AcZr | OQMD via LeMat-Bulk | PBE | optimized geometry
# Electronic total energy, eV/atom: -5.20
# DFT formation energy, eV/atom: 1.122
data_AcZr
_chemical_formula_sum 'Ac4 Zr4'
_cell_length_a 6.5578
_cell_length_b 6.5578
_cell_length_c 6.5578
_cell_angle_alpha 90.00
_cell_angle_beta 90.00
_cell_angle_gamma 90.00
_space_group_name_H-M_alt 'F m -3 m'
_space_group_IT_number 225
_space_group_name_Hall '-F 4 2 3'
loop_
_atom_site_label
_atom_site_fract_x
_atom_site_fract_y
_atom_site_fract_z
Ac1 0.0000 0.0000 0.0000
Zr1 0.0000 0.0000 0.5000

14.
# ScZnFeSb | OQMD via LeMat-Bulk | PBE | optimized geometry
# Electronic total energy, eV/atom: -5.07
data_ScZnFeSb
_chemical_formula_sum 'Sc4 Zn4 Fe4 Sb4'
_cell_length_a 6.4223
_cell_length_b 6.4223
_cell_length_c 6.4223
_cell_angle_alpha 90.00
_cell_angle_beta 90.00
_cell_angle_gamma 90.00
_space_group_name_H-M_alt 'F -4 3 m'
_space_group_IT_number 216
_space_group_name_Hall 'F -4 2 3'
loop_
_atom_site_label
_atom_site_fract_x
_atom_site_fract_y
_atom_site_fract_z
Sc1 0.0000 0.0000 0.0000
Zn1 0.2500 0.2500 0.7500
Fe1 0.0000 0.0000 0.5000
Sb1 0.2500 0.2500 0.2500

15.
# Pr2SmSi4Pd2Au2 | OQMD via LeMat-Bulk | PBE | optimized geometry
# Electronic total energy, eV/atom: -5.67
data_Pr2SmSi4Pd2Au2
_chemical_formula_sum 'Pr4 Sm2 Si8 Pd4 Au4'
_cell_length_a 4.2311
_cell_length_b 4.2784
_cell_length_c 24.7452
_cell_angle_alpha 90.00
_cell_angle_beta 90.00
_cell_angle_gamma 90.00
_space_group_name_H-M_alt 'I m m m'
_space_group_IT_number 71
_space_group_name_Hall '-I 2 2'
loop_
_atom_site_label
_atom_site_fract_x
_atom_site_fract_y
_atom_site_fract_z
Pr1 0.0000 0.0000 0.1488
Sm1 0.0000 0.5000 0.0000
Si1 0.0000 0.0000 0.3021
Si2 0.0000 0.5000 0.4525
Pd1 0.0000 0.5000 0.2495
Au1 0.0000 0.0000 0.4034

16.
# BeNiSnPd | OQMD via LeMat-Bulk | PBE | optimized geometry
# Electronic total energy, eV/atom: -4.84
data_BeNiSnPd
_chemical_formula_sum 'Be4 Ni4 Sn4 Pd4'
_cell_length_a 6.0792
_cell_length_b 6.0792
_cell_length_c 6.0792
_cell_angle_alpha 90.00
_cell_angle_beta 90.00
_cell_angle_gamma 90.00
_space_group_name_H-M_alt 'F -4 3 m'
_space_group_IT_number 216
_space_group_name_Hall 'F -4 2 3'
loop_
_atom_site_label
_atom_site_fract_x
_atom_site_fract_y
_atom_site_fract_z
Be1 0.0000 0.0000 0.0000
Ni1 0.2500 0.2500 0.2500
Sn1 0.0000 0.0000 0.5000
Pd1 0.2500 0.2500 0.7500

17.
# BPbW | OQMD via LeMat-Bulk | PBE | optimized geometry
# Electronic total energy, eV/atom: -5.85
data_BPbW
_chemical_formula_sum 'B4 Pb4 W4'
_cell_length_a 6.1709
_cell_length_b 6.1709
_cell_length_c 6.1709
_cell_angle_alpha 90.00
_cell_angle_beta 90.00
_cell_angle_gamma 90.00
_space_group_name_H-M_alt 'F -4 3 m'
_space_group_IT_number 216
_space_group_name_Hall 'F -4 2 3'
loop_
_atom_site_label
_atom_site_fract_x
_atom_site_fract_y
_atom_site_fract_z
B1 0.0000 0.0000 0.0000
Pb1 0.0000 0.0000 0.5000
W1 0.2500 0.2500 0.2500

18.
# Sc3Al2GaGe2Pd | OQMD via LeMat-Bulk | PBE | optimized geometry
# Electronic total energy, eV/atom: -5.65
data_Sc3Al2GaGe2Pd
_chemical_formula_sum 'Sc6 Al4 Ga2 Ge4 Pd2'
_cell_length_a 4.0799
_cell_length_b 11.5727
_cell_length_c 6.7593
_cell_angle_alpha 90.00
_cell_angle_beta 90.00
_cell_angle_gamma 90.00
_space_group_name_H-M_alt 'A m m 2'
_space_group_IT_number 38
loop_
_space_group_symop_operation_xyz
'x,y,z'
'-x,-y,z'
'-x,y,z'
'x,-y,z'
'x,y+1/2,z+1/2'
'-x,-y+1/2,z+1/2'
'-x,y+1/2,z+1/2'
'x,-y+1/2,z+1/2'
loop_
_atom_site_label
_atom_site_fract_x
_atom_site_fract_y
_atom_site_fract_z
Sc1 0.0000 0.0000 0.0000
Sc2 0.0000 0.2077 0.3694
Al1 0.5000 0.1192 0.7022
Ga1 0.5000 0.0000 0.3377
Ge1 0.5000 0.1690 0.0777
Pd1 0.0000 0.0000 0.5855

19.
# RbTbFeTe3 | OQMD via LeMat-Bulk | PBE | optimized geometry
# Electronic total energy, eV/atom: -4.76
data_RbTbFeTe3
_chemical_formula_sum 'Rb4 Tb4 Fe4 Te12'
_cell_length_a 11.5559
_cell_length_b 4.4016
_cell_length_c 16.3085
_cell_angle_alpha 90.00
_cell_angle_beta 90.00
_cell_angle_gamma 90.00
_space_group_name_H-M_alt 'P n m a'
_space_group_IT_number 62
loop_
_space_group_symop_operation_xyz
'x,y,z'
'-x,-y,-z'
'-x+1/2,-y,z+1/2'
'x+1/2,y,-z+1/2'
'x+1/2,-y+1/2,-z+1/2'
'-x+1/2,y+1/2,z+1/2'
'-x,y+1/2,-z'
'x,-y+1/2,z'
loop_
_atom_site_label
_atom_site_fract_x
_atom_site_fract_y
_atom_site_fract_z
Rb1 0.2367 0.2500 0.0042
Tb1 0.0032 0.7500 0.2551
Fe1 0.2487 0.7500 0.7830
Te1 0.0590 0.7500 0.8710
Te2 0.0697 0.2500 0.3796
Te3 0.2495 0.2500 0.6861

20.
# KTcB4 | OQMD via LeMat-Bulk | PBE | optimized geometry
# Electronic total energy, eV/atom: -6.28
data_KTcB4
_chemical_formula_sum 'K1 Tc1 B4'
_cell_length_a 3.0041
_cell_length_b 3.0041
_cell_length_c 8.3226
_cell_angle_alpha 90.00
_cell_angle_beta 90.00
_cell_angle_gamma 120.00
_space_group_name_H-M_alt 'P 6/m m m'
_space_group_IT_number 191
_space_group_name_Hall '-P 6 2'
loop_
_atom_site_label
_atom_site_fract_x
_atom_site_fract_y
_atom_site_fract_z
K1 0.0000 0.0000 0.0000
Tc1 0.0000 0.0000 0.5000
B1 0.3333 0.6667 0.3002